[1]
An optimized crystal structure of Ba2Zn2Ag3. Source: the Alexandria database, functional PBE-GGA.

Unit cell a=11.2615 b=4.8668 c=7.2697 alpha=90.00 beta=106.43 gamma=90.00
Fractional coordinates of all 14 atoms:
Ba: 0.1375 0.0000 0.2815
Ba: 0.3625 0.5000 0.7185
Ba: 0.6375 0.5000 0.2815
Ba: 0.8625 0.0000 0.7185
Zn: 0.1733 0.0000 0.8013
Zn: 0.3267 0.5000 0.1987
Zn: 0.6733 0.5000 0.8013
Zn: 0.8267 0.0000 0.1987
Ag: 0.0000 0.5000 0.5000
Ag: 0.1017 0.5000 0.9074
Ag: 0.3983 0.0000 0.0926
Ag: 0.5000 0.0000 0.5000
Ag: 0.6017 0.0000 0.9074
Ag: 0.8983 0.5000 0.0926

Calculated values
energy relative to the lowest polymorph listed for this composition: 0.041 eV per atom
crystal system: monoclinic
formation enthalpy at 0 K: -0.176 eV per atom
space-group type: C2/m



[2]
An optimized crystal structure of BaZn12Ag4. Source: the Alexandria database, functional PBE-GGA.

Unit cell a=7.8142 b=7.8142 c=7.8142 alpha=109.47 beta=109.47 gamma=109.47
Fractional coordinates of all 17 atoms:
Ba: 0.0000 0.0000 0.0000
Zn: 0.1494 0.3604 0.5097
Zn: 0.1494 0.6396 0.7890
Zn: 0.2110 0.8506 0.3604
Zn: 0.3604 0.2110 0.8506
Zn: 0.3604 0.5097 0.1494
Zn: 0.4903 0.8506 0.6396
Zn: 0.5097 0.1494 0.3604
Zn: 0.6396 0.4903 0.8506
Zn: 0.6396 0.7890 0.1494
Zn: 0.7890 0.1494 0.6396
Zn: 0.8506 0.3604 0.2110
Zn: 0.8506 0.6396 0.4903
Ag: 0.0000 0.0000 0.5000
Ag: 0.0000 0.5000 0.0000
Ag: 0.5000 0.0000 0.0000
Ag: 0.5000 0.5000 0.5000

Calculated values
crystal system: cubic
formation enthalpy at 0 K: 0.159 eV per atom
space-group type: Im-3



[3]
An optimized crystal structure of Ba8ZnAg2. Source: the Alexandria database, functional PBE-GGA.

Unit cell a=9.0781 b=9.0781 c=7.4351 alpha=99.93 beta=99.93 gamma=111.59
Fractional coordinates of all 11 atoms:
Ba: 0.0000 0.0000 0.0000
Ba: 0.0090 0.2803 0.5699
Ba: 0.1391 0.5581 0.1839
Ba: 0.2803 0.0090 0.5699
Ba: 0.4284 0.6929 0.7932
Ba: 0.5581 0.1391 0.1839
Ba: 0.6929 0.4284 0.7932
Ba: 0.7099 0.7099 0.3819
Zn: 0.3637 0.3637 0.4104
Ag: 0.0400 0.6706 0.6914
Ag: 0.6706 0.0400 0.6914

Calculated values
energy relative to the lowest polymorph listed for this composition: 0.026 eV per atom
crystal system: monoclinic
formation enthalpy at 0 K: -0.058 eV per atom
space-group type: Cm



[4]
An optimized crystal structure of BaZn2Ag. Source: the Alexandria database, functional PBE-GGA.

Unit cell a=4.9622 b=4.9622 c=19.0547 alpha=90.00 beta=90.00 gamma=90.00
Fractional coordinates of all 16 atoms:
Ba: 0.0000 0.2500 0.3750
Ba: 0.0000 0.7500 0.6250
Ba: 0.5000 0.2500 0.1250
Ba: 0.5000 0.7500 0.8750
Zn: 0.0000 0.0000 0.0000
Zn: 0.0000 0.5000 0.0000
Zn: 0.2500 0.2500 0.7500
Zn: 0.2500 0.7500 0.2500
Zn: 0.5000 0.0000 0.5000
Zn: 0.5000 0.5000 0.5000
Zn: 0.7500 0.2500 0.7500
Zn: 0.7500 0.7500 0.2500
Ag: 0.0000 0.2500 0.8750
Ag: 0.0000 0.7500 0.1250
Ag: 0.5000 0.2500 0.6250
Ag: 0.5000 0.7500 0.3750

Calculated values
crystal system: tetragonal
formation enthalpy at 0 K: -0.098 eV per atom
space-group type: I4_1/amd



[5]
An optimized crystal structure of BaZn7Ag5. Source: the Alexandria database, functional PBE-GGA.

Unit cell a=7.3442 b=7.3442 c=7.3442 alpha=137.11 beta=96.50 gamma=98.87
Fractional coordinates of all 13 atoms:
Ba: 0.0000 0.0000 0.0000
Zn: 0.2454 0.4977 0.7477
Zn: 0.2620 0.7620 0.5000
Zn: 0.3620 0.3620 0.0000
Zn: 0.3651 0.0077 0.3574
Zn: 0.6405 0.6405 0.0000
Zn: 0.6503 0.0077 0.6426
Zn: 0.7499 0.4977 0.2523
Ag: 0.0066 0.4989 0.0089
Ag: 0.0066 0.9977 0.5077
Ag: 0.4900 0.4989 0.4923
Ag: 0.4900 0.9977 0.9911
Ag: 0.7642 0.2642 0.5000

Calculated values
crystal system: orthorhombic
formation enthalpy at 0 K: -0.058 eV per atom
space-group type: Imm2



[6]
An optimized crystal structure of BaZn2Ag. Source: the Alexandria database, functional PBE-GGA.

Unit cell a=3.7075 b=3.7075 c=7.2474 alpha=90.00 beta=90.00 gamma=90.00
Fractional coordinates of all 4 atoms:
Ba: 0.0000 0.0000 0.0000
Zn: 0.0000 0.0000 0.4930
Zn: 0.5000 0.5000 0.3157
Ag: 0.5000 0.5000 0.6792

Calculated values
crystal system: tetragonal
formation enthalpy at 0 K: -0.004 eV per atom
space-group type: P4mm



[7]
An optimized crystal structure of Ba2ZnAg. Source: the Alexandria database, functional PBE-GGA.

Unit cell a=4.7395 b=4.7395 c=25.2143 alpha=90.00 beta=90.00 gamma=120.00
Fractional coordinates of all 12 atoms:
Ba: 0.0000 0.0000 0.0000
Ba: 0.0000 0.0000 0.1731
Ba: 0.3333 0.6667 0.6667
Ba: 0.3333 0.6667 0.8397
Ba: 0.6667 0.3333 0.3333
Ba: 0.6667 0.3333 0.5064
Zn: 0.0000 0.0000 0.7530
Zn: 0.3333 0.6667 0.4196
Zn: 0.6667 0.3333 0.0863
Ag: 0.0000 0.0000 0.4199
Ag: 0.3333 0.6667 0.0865
Ag: 0.6667 0.3333 0.7532

Calculated values
crystal system: trigonal
formation enthalpy at 0 K: -0.221 eV per atom
space-group type: R3m



[8]
An optimized crystal structure of Ba2Zn5Ag5. Source: the Alexandria database, functional PBE-GGA.

Unit cell a=4.5122 b=5.6660 c=10.3935 alpha=90.00 beta=90.00 gamma=90.00
Fractional coordinates of all 12 atoms:
Ba: 0.0000 0.0000 0.0000
Ba: 0.0000 0.5000 0.5000
Zn: 0.5000 0.0000 0.5000
Zn: 0.5000 0.2510 0.2512
Zn: 0.5000 0.2510 0.7488
Zn: 0.5000 0.7490 0.2512
Zn: 0.5000 0.7490 0.7488
Ag: 0.0000 0.0000 0.3274
Ag: 0.0000 0.0000 0.6726
Ag: 0.0000 0.5000 0.1810
Ag: 0.0000 0.5000 0.8190
Ag: 0.5000 0.5000 0.0000

Calculated values
crystal system: orthorhombic
formation enthalpy at 0 K: -0.178 eV per atom
space-group type: Pmmm



In eV per cell, the electronic total energy values for the records above are, in order, -32.4, -25.9, -23.0, -30.9, -25.8, -7.3, -26.6, -26.6.